# HfZnPd3, optimized geometry, DFT PBE-GGA
data_HfZnPd3
_chemical_formula_sum 'Hf2 Zn2 Pd6'
_symmetry_space_group_name_H-M 'P m m n'
_symmetry_Int_Tables_number 59
_cell_length_a 4.414
_cell_length_b 5.558
_cell_length_c 7.072
_cell_angle_alpha 90.00
_cell_angle_beta 90.00
_cell_angle_gamma 90.00
loop_
_symmetry_equiv_pos_as_xyz
'x,y,z'
'-x,-y,-z'
'-x+1/2,-y+1/2,z'
'x+1/2,y+1/2,-z'
'x+1/2,-y,-z'
'-x+1/2,y,z'
'-x,y+1/2,-z'
'x,-y+1/2,z'
loop_
_atom_site_label
_atom_site_type_symbol
_atom_site_fract_x
_atom_site_fract_y
_atom_site_fract_z
Hf1 Hf 0.250 0.250 0.143
Zn1 Zn 0.250 0.750 0.441
Pd1 Pd 0.250 0.007 0.739
Pd2 Pd 0.250 0.750 0.086
# magnetic moment: 0.0 μB per formula unit
# E: -5.92 eV/atom
# offset from the most stable computed form: 23 meV per atom
# energy of formation: -556 meV/atom